# CuAgBr3

An optimized crystal structure of CuAgBr3 (PBE, Alexandria via LeMat-Bulk).

Properties
* ΔE to the lowest computed polymorph: 248.5 meV per atom

Structure (POSCAR):
```
CuAgBr3
1.0
5.052 0.000 0.000
0.000 5.052 0.000
0.000 0.000 5.052
Cu Ag Br
1 1 3
Direct
0.000 0.000 0.000
0.500 0.500 0.500
0.000 0.000 0.500
0.000 0.500 0.000
0.500 0.000 0.000
```